Material: Ho3Rh2
Method: DFT, GGA-PBE
State: optimized geometry

Values from the calculation:
uncorrected energy: -6.48 eV per atom
theoretical density: 10.4 g/cm³
energy above the most stable polymorph in this dataset: 0.0000 eV/atom
SG: No. 140

POSCAR file:
```
Ho3Rh2
1.0
-5.5922 5.5922 12.5686
5.5922 -5.5922 12.5686
5.5922 5.5922 -12.5686
Ho Rh
42 28
direct
0.0037 0.7246 0.8711
0.0171 0.7274 0.1313
0.0960 0.2274 0.7102
0.1127 0.6127 0.5000
0.1142 0.9829 0.7102
0.1326 0.0037 0.2791
0.1465 0.8674 0.8711
0.1502 0.3498 0.5000
0.2246 0.5037 0.8711
0.2274 0.5171 0.1313
0.2500 0.7500 0.5000
0.2726 0.4040 0.2898
0.2754 0.1465 0.2791
0.3498 0.8498 0.1996
0.3535 0.2246 0.7209
0.3674 0.6465 0.8711
0.3858 0.0960 0.8687
0.3873 0.8873 0.5000
0.4040 0.1142 0.1313
0.4829 0.6142 0.7102
0.4963 0.3674 0.7209
0.5037 0.6326 0.2791
0.5171 0.3858 0.2898
0.5960 0.8858 0.8687
0.6127 0.1127 0.5000
0.6142 0.9040 0.1313
0.6326 0.3535 0.1289
0.6465 0.7754 0.2791
0.6502 0.1502 0.8004
0.7246 0.8535 0.7209
0.7274 0.5960 0.7102
0.7500 0.2500 0.5000
0.7726 0.4829 0.8687
0.7754 0.4963 0.1289
0.8498 0.6502 0.5000
0.8535 0.1326 0.1289
0.8674 0.9963 0.7209
0.8858 0.0171 0.2898
0.8873 0.3873 0.5000
0.9040 0.7726 0.2898
0.9829 0.2726 0.8687
0.9963 0.2754 0.1289
0.0000 0.0000 0.0000
0.0352 0.5352 0.1935
0.0725 0.2142 0.5000
0.0979 0.5979 0.6959
0.1327 0.1327 0.0000
0.1584 0.9648 0.5000
0.2142 0.7142 0.1417
0.2500 0.2500 0.0000
0.2858 0.4275 0.5000
0.3416 0.8416 0.8065
0.3673 0.3673 0.0000
0.4021 0.0979 0.5000
0.4275 0.9275 0.1417
0.4648 0.6584 0.5000
0.5000 0.5000 0.0000
0.5352 0.3416 0.5000
0.5725 0.0725 0.8583
0.5979 0.9021 0.5000
0.6327 0.6327 0.0000
0.6584 0.1584 0.1935
0.7142 0.5725 0.5000
0.7500 0.7500 0.0000
0.7858 0.2858 0.8583
0.8416 0.0352 0.5000
0.8673 0.8673 0.0000
0.9021 0.4021 0.3041
0.9275 0.7858 0.5000
0.9648 0.4648 0.8065
```